No. 1
The following is a DFT calculation (PBE) of crystalline Pr2YGe2 at its relaxed geometry.

Geometry as CIF:
```
data_Pr2YGe2
_cell_length_a 7.757
_cell_length_b 7.757
_cell_length_c 4.461
_cell_angle_alpha 90.00
_cell_angle_beta 90.00
_cell_angle_gamma 90.00
_space_group_name_H-M_alt 'P 4/m b m'
_space_group_IT_number 127
_space_group_name_Hall '-P 4 2ab'
loop_
_atom_site_label
_atom_site_fract_x
_atom_site_fract_y
_atom_site_fract_z
Pr1 0.175 0.325 0.000
Y1 0.000 0.000 0.500
Ge1 0.122 0.622 0.500
```

## Properties
E: -5.8349 eV/atom
spin magnetization: 0.00 μB/atom
calculated density: 6.38 g cm⁻³
D(E_F): 4.7 states/eV/f.u.
energy of formation: -0.783 eV/atom


No. 2
The following is a DFT calculation (PBE) of crystalline PrYGe at its relaxed geometry.

Geometry as CIF:
```
data_PrYGe
_cell_length_a 4.7888
_cell_length_b 4.7888
_cell_length_c 4.3419
_cell_angle_alpha 90.00
_cell_angle_beta 90.00
_cell_angle_gamma 120.00
_space_group_name_H-M_alt 'P 3 m 1'
_space_group_IT_number 156
loop_
_space_group_symop_operation_xyz
'x,y,z'
'-y,x-y,z'
'-x+y,-x,z'
'-y,-x,z'
'-x+y,y,z'
'x,x-y,z'
loop_
_atom_site_label
_atom_site_fract_x
_atom_site_fract_y
_atom_site_fract_z
Pr1 0.0000 0.0000 0.0000
Y1 0.6667 0.3333 0.4768
Ge1 0.3333 0.6667 0.6186
```

## Properties
E: -5.7136 eV/atom
spin magnetization: 0.00 μB/atom
calculated density: 5.82 g cm⁻³
D(E_F): 1.6 states/eV/f.u.
energy of formation: -0.427 eV/atom


No. 3
The following is a DFT calculation (PBE) of crystalline PrYGe at its relaxed geometry.

Geometry as CIF:
```
data_PrYGe
_cell_length_a 11.109
_cell_length_b 4.255
_cell_length_c 8.443
_cell_angle_alpha 90.00
_cell_angle_beta 123.63
_cell_angle_gamma 90.00
_space_group_name_H-M_alt 'C 1 2/m 1'
_space_group_IT_number 12
loop_
_space_group_symop_operation_xyz
'x,y,z'
'-x,-y,-z'
'-x,y,-z'
'x,-y,z'
'x+1/2,y+1/2,z'
'-x+1/2,-y+1/2,-z'
'-x+1/2,y+1/2,-z'
'x+1/2,-y+1/2,z'
loop_
_atom_site_label
_atom_site_fract_x
_atom_site_fract_y
_atom_site_fract_z
Pr1 0.168 0.000 0.070
Y1 0.083 0.500 0.363
Ge1 0.131 0.000 0.652
```

## Properties
E: -5.8483 eV/atom
spin magnetization: 0.00 μB/atom
calculated density: 6.05 g cm⁻³
D(E_F): 3.3 states/eV/f.u.
energy of formation: -0.561 eV/atom